[1]
## KZr2Pt (GGA-PBEsol)

Data for a relaxed KZr2Pt crystal.

- DOS(E_F): 5.483 states/eV per cell
- Polymorph energy (0 for the lowest one): 36 meV/atom
- Volume: 29.3 A^3/atom

Cell: 10.364 10.364 10.364 Å, 20.30 20.30 20.30°
Sites, in units of the cell vectors:
K  0.000  0.000  0.000
Zr  0.219  0.219  0.219
Zr  0.781  0.781  0.781
Pt  0.500  0.500  0.500


[2]
## KZr2Pt (GGA-PBEsol)

Data for a relaxed KZr2Pt crystal.

- DOS(E_F): 4.847 states/eV per cell
- Polymorph energy (0 for the lowest one): 0 meV/atom
- Volume: 27.3 A^3/atom

Cell: 3.438 3.438 9.241 Å, 90.00 90.00 90.00°
Sites, in units of the cell vectors:
K  0.000  0.000  0.000
Zr  0.500  0.500  0.350
Zr  0.500  0.500  0.650
Pt  0.000  0.000  0.500


[3]
## KZrPt (GGA-PBEsol)

Data for a relaxed KZrPt crystal.

- DOS(E_F): 3.271 states/eV per cell
- Polymorph energy (0 for the lowest one): 0 meV/atom
- Volume: 30.7 A^3/atom

Cell: 3.778 3.778 7.458 Å, 90.00 90.00 120.00°
Sites, in units of the cell vectors:
K  0.000  0.000  0.000
Zr  0.667  0.333  0.488
Pt  0.333  0.667  0.662


[4]
## KRbRe2S (GGA-PBEsol)

Data for a relaxed KRbRe2S crystal.

- DOS(E_F): 3.398 states/eV per cell
- Uncorrected formation energy: 2.89 eV per atom
- Volume: 36.8 A^3/atom

Cell: 5.728 5.728 5.613 Å, 90.00 90.00 90.00°
Sites, in units of the cell vectors:
K  0.000  0.000  0.000
Rb  0.500  0.500  0.500
Re  0.000  0.500  0.000
Re  0.500  0.000  0.000
S  0.000  0.000  0.500